(1)
A plane-wave DFT calculation with GGA-PBEsol was carried out for crystalline MoH8N2O4 at its relaxed geometry.

Computed properties:
Fermi-level density of states, states/eV/cell: 0.00
Energy relative to the lowest polymorph listed for this composition, eV per formula unit: 0.04
Space-group type: No. 14

Lattice parameters (Å, degrees): 6.2816 7.5444 12.0292 90.00 113.99 90.00
Element x y z (fractional)
Mo 0.0785 0.1311 0.3076
Mo 0.0785 0.3689 0.8076
Mo 0.9215 0.6311 0.1924
Mo 0.9215 0.8689 0.6924
H 0.2122 0.7409 0.4841
H 0.2122 0.7591 0.9841
H 0.2258 0.5807 0.5919
H 0.2258 0.9193 0.0919
H 0.2476 0.5204 0.4619
H 0.2476 0.9796 0.9619
H 0.2794 0.2292 0.6513
H 0.2794 0.2708 0.1513
H 0.3240 0.0746 0.5572
H 0.3240 0.4254 0.0572
H 0.3548 0.0149 0.6974
H 0.3548 0.4851 0.1974
H 0.4460 0.6639 0.8179
H 0.4460 0.8361 0.3179
H 0.4693 0.6408 0.5686
H 0.4693 0.8592 0.0686
H 0.5307 0.1408 0.9314
H 0.5307 0.3592 0.4314
H 0.5540 0.1639 0.6821
H 0.5540 0.3361 0.1821
H 0.6452 0.5149 0.8026
H 0.6452 0.9851 0.3026
H 0.6760 0.5746 0.9428
H 0.6760 0.9254 0.4428
H 0.7206 0.7292 0.8487
H 0.7206 0.7708 0.3487
H 0.7524 0.0204 0.0381
H 0.7524 0.4796 0.5381
H 0.7742 0.0807 0.9081
H 0.7742 0.4193 0.4081
H 0.7878 0.2409 0.0159
H 0.7878 0.2591 0.5159
N 0.2874 0.6219 0.5273
N 0.2874 0.8781 0.0273
N 0.3811 0.1200 0.6469
N 0.3811 0.3800 0.1469
N 0.6189 0.6200 0.8531
N 0.6189 0.8800 0.3531
N 0.7126 0.1219 0.9727
N 0.7126 0.3781 0.4727
O 0.1593 0.0868 0.1851
O 0.1593 0.4132 0.6851
O 0.1652 0.5440 0.9141
O 0.1652 0.9560 0.4141
O 0.2246 0.6652 0.2418
O 0.2246 0.8348 0.7418
O 0.2347 0.1784 0.8832
O 0.2347 0.3216 0.3832
O 0.7653 0.6784 0.6168
O 0.7653 0.8216 0.1168
O 0.7754 0.1652 0.2582
O 0.7754 0.3348 0.7582
O 0.8348 0.0440 0.5859
O 0.8348 0.4560 0.0859
O 0.8407 0.5868 0.3149
O 0.8407 0.9132 0.8149

---

(2)
A plane-wave DFT calculation with GGA-PBEsol was carried out for crystalline MoH8S4N2 at its relaxed geometry.

Computed properties:
Uncorrected energy, eV per atom: -5.28
Space-group type: No. 62

Lattice parameters (Å, degrees): 9.5064 6.9282 11.8235 90.00 90.00 90.00
Element x y z (fractional)
Mo 0.2401 0.2500 0.0705
Mo 0.2599 0.7500 0.5705
Mo 0.7401 0.2500 0.4295
Mo 0.7599 0.7500 0.9295
H 0.0039 0.2500 0.5763
H 0.0061 0.7500 0.2802
H 0.1172 0.7500 0.8160
H 0.1264 0.1282 0.6542
H 0.1264 0.3718 0.6542
H 0.1529 0.6277 0.9384
H 0.1529 0.8723 0.9384
H 0.2172 0.2500 0.3707
H 0.2828 0.7500 0.8707
H 0.3471 0.1277 0.4384
H 0.3471 0.3723 0.4384
H 0.3736 0.6282 0.1542
H 0.3736 0.8718 0.1542
H 0.3828 0.2500 0.3160
H 0.4939 0.2500 0.7802
H 0.4961 0.7500 0.0763
H 0.5039 0.2500 0.9237
H 0.5061 0.7500 0.2198
H 0.6172 0.7500 0.6840
H 0.6264 0.1282 0.8458
H 0.6264 0.3718 0.8458
H 0.6529 0.6277 0.5616
H 0.6529 0.8723 0.5616
H 0.7172 0.2500 0.1293
H 0.7828 0.7500 0.6293
H 0.8471 0.1277 0.0616
H 0.8471 0.3723 0.0616
H 0.8736 0.6282 0.3458
H 0.8736 0.8718 0.3458
H 0.8828 0.2500 0.1840
H 0.9939 0.2500 0.7198
H 0.9961 0.7500 0.4237
S 0.0366 0.7500 0.6216
S 0.1369 0.5057 0.1381
S 0.1369 0.9943 0.1381
S 0.2230 0.2500 0.8881
S 0.2770 0.7500 0.3881
S 0.3631 0.0057 0.6381
S 0.3631 0.4943 0.6381
S 0.4634 0.2500 0.1216
S 0.5366 0.7500 0.8784
S 0.6369 0.5057 0.3619
S 0.6369 0.9943 0.3619
S 0.7230 0.2500 0.6119
S 0.7770 0.7500 0.1119
S 0.8631 0.0057 0.8619
S 0.8631 0.4943 0.8619
S 0.9634 0.2500 0.3784
N 0.0619 0.2500 0.6515
N 0.1762 0.7500 0.8906
N 0.3238 0.2500 0.3906
N 0.4381 0.7500 0.1515
N 0.5619 0.2500 0.8485
N 0.6762 0.7500 0.6094
N 0.8238 0.2500 0.1094
N 0.9381 0.7500 0.3485

---

(3)
A plane-wave DFT calculation with GGA-PBEsol was carried out for crystalline MoHSe2N at its relaxed geometry.

Computed properties:
Fermi-level density of states, states/eV/cell: 3.80
Uncorrected energy, eV per atom: -5.60
Space-group type: No. 123

Lattice parameters (Å, degrees): 4.9330 4.9330 3.7654 90.00 90.00 90.00
Element x y z (fractional)
Mo 0.0000 0.0000 0.0000
H 0.5000 0.5000 0.5000
Se 0.0000 0.5000 0.0000
Se 0.5000 0.0000 0.0000
N 0.0000 0.0000 0.5000

---

(4)
A plane-wave DFT calculation with GGA-PBEsol was carried out for crystalline TcMo2HN at its relaxed geometry.

Computed properties:
Fermi-level density of states, states/eV/cell: 3.94
Uncorrected energy, eV per atom: -8.36
Space-group type: No. 123

Lattice parameters (Å, degrees): 4.0510 4.0510 3.3777 90.00 90.00 90.00
Element x y z (fractional)
Tc 0.0000 0.0000 0.0000
Mo 0.0000 0.5000 0.5000
Mo 0.5000 0.0000 0.5000
H 0.0000 0.0000 0.5000
N 0.5000 0.5000 0.0000

---

(5)
A plane-wave DFT calculation with GGA-PBEsol was carried out for crystalline TeMoHN2 at its relaxed geometry.

Computed properties:
Fermi-level density of states, states/eV/cell: 3.38
Uncorrected energy, eV per atom: -6.45
Space-group type: No. 123

Lattice parameters (Å, degrees): 3.7915 3.7915 5.5576 90.00 90.00 90.00
Element x y z (fractional)
Te 0.0000 0.0000 0.0000
Mo 0.0000 0.0000 0.5000
H 0.5000 0.5000 0.0000
N 0.0000 0.5000 0.5000
N 0.5000 0.0000 0.5000

---

(6)
A plane-wave DFT calculation with GGA-PBEsol was carried out for crystalline Zr2MoHN at its relaxed geometry.

Computed properties:
Fermi-level density of states, states/eV/cell: 2.72
Uncorrected energy, eV per atom: -8.01
Space-group type: No. 123

Lattice parameters (Å, degrees): 4.9217 4.9217 2.7332 90.00 90.00 90.00
Element x y z (fractional)
Zr 0.0000 0.5000 0.0000
Zr 0.5000 0.0000 0.0000
Mo 0.0000 0.0000 0.5000
H 0.5000 0.5000 0.0000
N 0.5000 0.5000 0.5000